Below is an optimized crystal structure of PrPuCo2O8, with properties calculated at the GGA+U level.

a = 5.9711 Å, b = 5.9711 Å, c = 5.9711 Å
α = 108.20°, β = 108.20°, γ = 112.05°
Last column: nearest neighbours and their distance in Å.
Element x y z (fractional)
Pr 0.0000 0.0000 0.0000  8 O 2.36-2.52
Pu 0.7500 0.2500 0.5000  4 O 2.07
Co 0.2500 0.7500 0.5000  4 O 1.72
Co 0.5000 0.5000 0.0000  4 O 1.95
O 0.0622 0.3933 0.3311  1 Co 1.72
O 0.0622 0.7310 0.6689  1 Co 1.72
O 0.0974 0.3075 0.7899  1 Co 1.95, 1 Pu 2.07
O 0.2690 0.9378 0.3311  1 Co 1.72
O 0.5175 0.3075 0.2101  1 Co 1.95, 1 Pu 2.07
O 0.6067 0.9378 0.6689  1 Co 1.72
O 0.6925 0.4825 0.7899  1 Co 1.95, 1 Pu 2.07
O 0.6925 0.9026 0.2101  1 Co 1.95, 1 Pu 2.07

Magnetization: 3.0 Bohr magnetons per cell
E: -7.51 eV/atom